(1)
This record from Alexandria via LeMat-Bulk describes crystalline GaSiPb3 at its relaxed geometry. The functional is PBE. Values from VASP.

```
&SYSTEM
  ibrav = 0, nat = 5, ntyp = 3
/
ATOMIC_SPECIES
Ga 69.72 Ga.upf
Si 28.09 Si.upf
Pb 207.20 Pb.upf
ATOMIC_POSITIONS angstrom
Ga 0.000 0.000 0.000
Si 2.724 2.724 2.724
Pb 0.000 2.724 2.724
Pb 2.724 0.000 2.724
Pb 2.724 2.724 0.000
CELL_PARAMETERS angstrom
5.447 0.000 0.000
0.000 5.447 0.000
0.000 0.000 5.447
```

Output
**Electronic total energy**: -3.375 eV/atom
**Space group**: Pm-3m, No. 221
**DOS at the Fermi energy**: 3.7 states/eV/cell
**ΔE to the lowest computed polymorph**: 0 meV per atom

---

(2)
This record from Alexandria via LeMat-Bulk describes crystalline HoPuSi2 at its relaxed geometry. The functional is PBE. Values from VASP.

```
&SYSTEM
  ibrav = 0, nat = 4, ntyp = 3
/
ATOMIC_SPECIES
Ho 164.93 Ho.upf
Pu 244.00 Pu.upf
Si 28.09 Si.upf
ATOMIC_POSITIONS angstrom
Ho 0.000 0.000 0.000
Pu 1.897 0.000 7.602
Si 0.000 0.000 3.037
Si 1.897 0.000 4.589
CELL_PARAMETERS angstrom
3.795 0.000 0.000
0.000 2.141 5.331
0.000 -2.141 5.331
```

Output
**Electronic total energy**: -8.042 eV/atom
**Space group**: Amm2, No. 38
**DOS at the Fermi energy**: 9.5 states/eV/cell
**ΔE to the lowest computed polymorph**: 0 meV per atom

---

(3)
This record from Alexandria via LeMat-Bulk describes crystalline PmNd5Y2Ho at its relaxed geometry. The functional is PBE. Values from VASP.

```
&SYSTEM
  ibrav = 0, nat = 18, ntyp = 4
/
ATOMIC_SPECIES
Pm 145.00 Pm.upf
Nd 144.24 Nd.upf
Y 88.91 Y.upf
Ho 164.93 Ho.upf
ATOMIC_POSITIONS angstrom
Pm 2.849 6.107 5.378
Pm 2.849 -6.107 0.000
Nd 2.849 9.891 5.520
Nd 2.849 4.473 8.601
Nd 2.849 4.180 2.085
Nd 2.849 2.205 5.554
Nd 2.849 0.414 2.528
Nd 2.849 -0.414 7.905
Nd 2.849 -2.205 0.177
Nd 2.849 -4.180 7.463
Nd 2.849 -4.473 3.224
Nd 2.849 -9.891 0.143
Y 2.849 7.985 2.457
Y 2.849 7.856 8.707
Y 2.849 -7.856 3.329
Y 2.849 -7.985 7.835
Ho 2.849 1.851 10.229
Ho 2.849 -1.851 4.851
CELL_PARAMETERS angstrom
2.849 -10.250 0.000
2.849 10.250 0.000
0.000 0.000 10.755
```

Output
**Electronic total energy**: -4.983 eV/atom
**Space group**: Cmc2_1, No. 36
**DOS at the Fermi energy**: 28.8 states/eV/cell
**Energy of formation**: 0.14 eV/atom

---

(4)
This record from Alexandria via LeMat-Bulk describes crystalline TlSnHg3Pb at its relaxed geometry. The functional is PBE. Values from VASP.

```
&SYSTEM
  ibrav = 0, nat = 12, ntyp = 4
/
ATOMIC_SPECIES
Tl 204.38 Tl.upf
Sn 118.71 Sn.upf
Hg 200.59 Hg.upf
Pb 207.20 Pb.upf
ATOMIC_POSITIONS angstrom
Tl 0.571 0.954 1.379
Tl 4.268 2.862 8.691
Sn 1.550 2.862 4.026
Sn 3.289 0.954 6.044
Hg -0.834 0.954 4.763
Hg -1.968 0.954 7.780
Hg 3.106 2.862 0.125
Hg 1.732 0.954 9.945
Hg 6.807 2.862 2.291
Hg 5.673 2.862 5.308
Pb 0.878 2.862 7.220
Pb 3.961 0.954 2.851
CELL_PARAMETERS angstrom
8.897 0.000 0.000
0.000 3.815 0.000
-4.059 0.000 10.071
```

Output
**Electronic total energy**: -1.806 eV/atom
**Space group**: P2_1/m, No. 11
**DOS at the Fermi energy**: 4.3 states/eV/cell
**Energy of formation**: 0.02 eV/atom

---

(5)
This record from Alexandria via LeMat-Bulk describes crystalline Er5TmRh4 at its relaxed geometry. The functional is PBE. Values from VASP.

```
&SYSTEM
  ibrav = 0, nat = 10, ntyp = 3
/
ATOMIC_SPECIES
Er 167.26 Er.upf
Tm 168.93 Tm.upf
Rh 102.91 Rh.upf
ATOMIC_POSITIONS angstrom
Er 0.000 0.000 0.000
Er 4.839 0.000 0.000
Er 4.836 0.000 3.351
Er 9.654 0.000 6.711
Er 9.658 0.000 3.361
Tm -0.008 0.000 3.356
Rh 2.395 0.000 1.679
Rh 7.236 0.000 1.683
Rh 7.257 0.000 5.029
Rh 12.098 0.000 5.032
CELL_PARAMETERS angstrom
7.254 -2.369 0.000
7.254 2.369 0.000
-0.015 0.000 6.712
```

Output
**Electronic total energy**: -6.431 eV/atom
**Space group**: C2/m, No. 12
**DOS at the Fermi energy**: 7.9 states/eV/cell
**Energy of formation**: -0.76 eV/atom

---

(6)
This record from Alexandria via LeMat-Bulk describes crystalline Pr10DyTm4 at its relaxed geometry. The functional is PBE. Values from VASP.

```
&SYSTEM
  ibrav = 0, nat = 15, ntyp = 3
/
ATOMIC_SPECIES
Pr 140.91 Pr.upf
Dy 162.50 Dy.upf
Tm 168.93 Tm.upf
ATOMIC_POSITIONS angstrom
Pr 7.803 -1.220 1.798
Pr 3.827 -2.756 3.609
Pr 5.047 0.000 2.704
Pr 2.292 1.220 1.798
Pr -1.220 2.292 1.798
Pr 6.268 2.756 3.609
Pr 2.756 3.827 3.609
Pr 0.000 5.047 2.704
Pr 1.220 7.803 1.798
Pr -2.756 6.268 3.609
Dy 0.000 0.000 0.000
Tm 5.579 2.295 0.000
Tm 2.295 4.516 0.000
Tm 2.752 0.531 5.408
Tm -0.531 2.752 5.408
CELL_PARAMETERS angstrom
-5.047 5.047 5.408
5.047 -5.047 5.408
5.047 5.047 -5.408
```

Output
**Electronic total energy**: -4.259 eV/atom
**Space group**: I4/m, No. 87
**DOS at the Fermi energy**: 23.9 states/eV/cell
**Energy of formation**: 0.43 eV/atom

---

(7)
This record from Alexandria via LeMat-Bulk describes crystalline Tb6Sm12Tm at its relaxed geometry. The functional is PBE. Values from VASP.

```
&SYSTEM
  ibrav = 0, nat = 19, ntyp = 3
/
ATOMIC_SPECIES
Tb 158.93 Tb.upf
Sm 150.36 Sm.upf
Tm 168.93 Tm.upf
ATOMIC_POSITIONS angstrom
Tb -1.767 -1.020 3.560
Tb 1.767 -1.020 3.560
Tb 0.000 2.040 3.560
Tb 0.000 -2.040 9.467
Tb -1.767 1.020 9.467
Tb 1.767 1.020 9.467
Sm 0.000 -4.429 3.637
Sm -3.835 2.214 3.637
Sm -1.729 -2.995 6.514
Sm -3.458 0.000 6.514
Sm -3.835 -2.214 9.390
Sm 1.729 -2.995 6.514
Sm -1.729 2.995 6.514
Sm 3.835 2.214 3.637
Sm 3.458 0.000 6.514
Sm 1.729 2.995 6.514
Sm 3.835 -2.214 9.390
Sm 0.000 4.429 9.390
Tm 0.000 0.000 6.514
CELL_PARAMETERS angstrom
6.569 3.793 4.342
-6.569 3.793 4.342
0.000 -7.586 4.342
```

Output
**Electronic total energy**: -4.551 eV/atom
**Space group**: R-3m, No. 166
**DOS at the Fermi energy**: 25.8 states/eV/cell
**Energy of formation**: 0.13 eV/atom
**ΔE to the lowest computed polymorph**: 0 meV per atom

---

(8)
This record from Alexandria via LeMat-Bulk describes crystalline Li4In3Rh at its relaxed geometry. The functional is PBE. Values from VASP.

```
&SYSTEM
  ibrav = 0, nat = 8, ntyp = 3
/
ATOMIC_SPECIES
Li 6.94 Li.upf
In 114.82 In.upf
Rh 102.91 Rh.upf
ATOMIC_POSITIONS angstrom
Li 2.086 0.000 0.511
Li 3.817 0.000 3.201
Li 13.438 0.000 1.062
Li 15.169 0.000 3.752
In 6.442 0.000 1.597
In 9.145 0.000 0.000
In 10.813 0.000 2.666
Rh -0.518 0.000 2.132
CELL_PARAMETERS angstrom
9.145 -1.809 0.000
9.145 1.809 0.000
-1.036 0.000 4.263
```

Output
**Electronic total energy**: -3.199 eV/atom
**Space group**: C2/m, No. 12
**DOS at the Fermi energy**: 3.3 states/eV/cell
**Energy of formation**: -0.30 eV/atom

---

(9)
This record from Alexandria via LeMat-Bulk describes crystalline PaGeOsN at its relaxed geometry. The functional is PBE. Values from VASP.

```
&SYSTEM
  ibrav = 0, nat = 8, ntyp = 4
/
ATOMIC_SPECIES
Pa 231.04 Pa.upf
Ge 72.64 Ge.upf
Os 190.23 Os.upf
N 14.01 N.upf
ATOMIC_POSITIONS angstrom
Pa 1.017 1.017 1.120
Pa 3.052 3.052 6.739
Ge 1.017 1.017 5.337
Ge 3.052 3.052 2.522
Os 1.017 3.052 3.929
Os 3.052 1.017 3.929
N 1.017 3.052 0.000
N 3.052 1.017 0.000
CELL_PARAMETERS angstrom
4.070 0.000 0.000
0.000 4.070 0.000
0.000 0.000 7.859
```

Output
**Electronic total energy**: -9.270 eV/atom
**Space group**: P4/nmm, No. 129
**DOS at the Fermi energy**: 5.8 states/eV/cell

---

(10)
This record from Alexandria via LeMat-Bulk describes crystalline Y2MgBi at its relaxed geometry. The functional is PBE. Values from VASP.

```
&SYSTEM
  ibrav = 0, nat = 4, ntyp = 3
/
ATOMIC_SPECIES
Y 88.91 Y.upf
Mg 24.30 Mg.upf
Bi 208.98 Bi.upf
ATOMIC_POSITIONS angstrom
Y 0.000 0.000 0.000
Y 0.000 0.000 3.884
Mg 0.000 0.000 16.122
Bi 0.000 0.000 12.579
CELL_PARAMETERS angstrom
2.316 1.337 7.075
-2.316 1.337 7.075
0.000 -2.675 7.075
```

Output
**Electronic total energy**: -4.826 eV/atom
**Space group**: R3m, No. 160
**DOS at the Fermi energy**: 2.9 states/eV/cell
**Energy of formation**: -0.23 eV/atom
**ΔE to the lowest computed polymorph**: 213 meV per atom

---

(11)
This record from Alexandria via LeMat-Bulk describes crystalline Sm3TlAg2Te6 at its relaxed geometry. The functional is PBE. Values from VASP.

```
&SYSTEM
  ibrav = 0, nat = 12, ntyp = 4
/
ATOMIC_SPECIES
Sm 150.36 Sm.upf
Tl 204.38 Tl.upf
Ag 107.87 Ag.upf
Te 127.60 Te.upf
ATOMIC_POSITIONS angstrom
Sm 0.000 0.000 0.000
Sm 5.028 0.000 6.120
Sm 13.350 0.000 2.725
Tl -1.581 0.000 4.422
Ag 4.992 0.000 2.583
Ag 13.387 0.000 6.261
Te 3.097 0.000 0.603
Te 1.862 0.000 4.939
Te 8.058 0.000 6.735
Te 10.321 0.000 2.110
Te 16.516 0.000 3.906
Te 15.281 0.000 8.241
CELL_PARAMETERS angstrom
10.770 -2.287 0.000
10.770 2.287 0.000
-3.162 0.000 8.845
```

Output
**Electronic total energy**: -4.358 eV/atom
**Space group**: C2/m, No. 12

---

(12)
This record from Alexandria via LeMat-Bulk describes crystalline Ba2LiAg at its relaxed geometry. The functional is PBE. Values from VASP.

```
&SYSTEM
  ibrav = 0, nat = 4, ntyp = 3
/
ATOMIC_SPECIES
Ba 137.33 Ba.upf
Li 6.94 Li.upf
Ag 107.87 Ag.upf
ATOMIC_POSITIONS angstrom
Ba 0.000 2.963 0.000
Ba 2.963 0.000 0.000
Li 0.000 0.000 2.142
Ag 2.963 2.963 2.142
CELL_PARAMETERS angstrom
5.927 0.000 0.000
0.000 5.927 0.000
0.000 0.000 4.284
```

Output
**Electronic total energy**: -2.235 eV/atom
**Space group**: P4/mmm, No. 123
**DOS at the Fermi energy**: 5.2 states/eV/cell
**Energy of formation**: -0.08 eV/atom
**ΔE to the lowest computed polymorph**: 57 meV per atom